Entry 1:
Entry from Alexandria: a relaxed SmTePb2O6 crystal (PBE).

Calculated values
calculated total energy = -6.110 eV/atom
SG = R3
DOS at the Fermi energy = 4.13 states/eV/f.u.
E_form (uncorrected) = -1.607 eV/atom

abc: 6.1174 6.1174 6.1174
angles: 59.65 59.65 59.65
Closest atoms and distances in Å follow each position.
Sites, in units of the cell vectors:
Sm: 0.0000 0.0000 0.0000  6 O 2.29-2.37
Te: 0.4929 0.4929 0.4929  6 O 2.06-2.12
Pb: 0.2695 0.2695 0.2695  6 O 2.61-2.66
Pb: 0.7736 0.7736 0.7736  6 O 2.56-2.68
O: 0.1900 0.7002 0.3291  1 Te 2.06, 1 Sm 2.29
O: 0.2238 0.6585 0.8056  1 Te 2.12, 1 Sm 2.37
O: 0.3291 0.1900 0.7002  1 Te 2.06, 1 Sm 2.29
O: 0.6585 0.8056 0.2238  1 Te 2.12, 1 Sm 2.37
O: 0.7002 0.3291 0.1900  1 Te 2.06, 1 Sm 2.29
O: 0.8056 0.2238 0.6585  1 Te 2.12, 1 Sm 2.37

=====

Entry 2:
Entry from Alexandria: a relaxed Sm2TiPbO6 crystal (PBE).

Calculated values
calculated total energy = -7.716 eV/atom
SG = P4mm
DOS at the Fermi energy = 0.00 states/eV/f.u.
E_form (uncorrected) = -2.637 eV/atom

abc: 5.4631 5.4631 5.5698
angles: 90.00 90.00 90.00
Closest atoms and distances in Å follow each position.
Sites, in units of the cell vectors:
Sm: 0.0000 0.5000 0.0000  4 O 2.30
Sm: 0.5000 0.0000 0.0000  4 O 2.30
Ti: 0.0000 0.0000 0.6381  5 O 1.82-1.94
Pb: 0.5000 0.5000 0.5530  5 O 2.33-2.43
O: 0.0000 0.0000 0.3105  1 Ti 1.82
O: 0.2300 0.2300 0.7764  1 Ti 1.94
O: 0.2300 0.7700 0.7764  1 Ti 1.94
O: 0.5000 0.5000 0.1355  1 Pb 2.33
O: 0.7700 0.2300 0.7764  1 Ti 1.94
O: 0.7700 0.7700 0.7764  1 Ti 1.94

=====

Entry 3:
Entry from Alexandria: a relaxed Sm2Tm4Pb3O2 crystal (PBE).

Calculated values
calculated total energy = -5.799 eV/atom
SG = I4/mmm
DOS at the Fermi energy = 7.39 states/eV/f.u.
E_form (uncorrected) = -1.402 eV/atom

abc: 13.1511 13.1511 13.1511
angles: 159.78 159.78 28.75
Closest atoms and distances in Å follow each position.
Sites, in units of the cell vectors:
Sm: 0.1946 0.1946 0.0000  1 O 2.59
Sm: 0.8054 0.8054 0.0000  1 O 2.59
Tm: 0.0827 0.5827 0.5000  2 O 2.32
Tm: 0.4173 0.9173 0.5000  2 O 2.32
Tm: 0.5827 0.0827 0.5000  2 O 2.32
Tm: 0.9173 0.4173 0.5000  2 O 2.32
Pb: 0.3238 0.3238 0.0000  5 Sm 3.29-3.30, 4 Tm 3.32
Pb: 0.5000 0.5000 0.0000  8 Tm 3.13
Pb: 0.6762 0.6762 0.0000  5 Sm 3.29-3.30, 4 Tm 3.32
O: 0.0927 0.0927 0.0000  4 Tm 2.32, 1 Sm 2.59
O: 0.9073 0.9073 0.0000  4 Tm 2.32, 1 Sm 2.59

=====

Entry 4:
Entry from Alexandria: a relaxed Sm2UPbO8 crystal (PBE).

Calculated values
calculated total energy = -8.052 eV/atom
SG = P-1
E_form (uncorrected) = -2.710 eV/atom

abc: 3.7824 5.4612 7.9985
angles: 84.50 89.92 89.49
Closest atoms and distances in Å follow each position.
Sites, in units of the cell vectors:
Sm: 0.0007 0.0145 0.2485  8 O 2.38-2.56
Sm: 0.9993 0.9855 0.7515  8 O 2.38-2.56
U: 0.5000 0.5000 0.5000  4 O 2.01-2.24
Pb: 0.5000 0.5000 0.0000  6 O 2.19-2.37
O: 0.0052 0.7248 0.5202  2 U 2.24-2.29, 1 Sm 2.44, 1 O 2.51
O: 0.0061 0.7459 0.0261  2 Pb 2.31-2.37, 2 Sm 2.41-2.45
O: 0.4957 0.2462 0.6992  1 U 2.01
O: 0.4966 0.2822 0.2439  1 Pb 2.19, 2 Sm 2.39
O: 0.5034 0.7178 0.7561  1 Pb 2.19, 2 Sm 2.39
O: 0.5043 0.7538 0.3008  1 U 2.01
O: 0.9939 0.2541 0.9739  2 Pb 2.31-2.37, 2 Sm 2.41-2.45
O: 0.9948 0.2752 0.4798  2 U 2.24-2.29, 1 Sm 2.44, 1 O 2.51

=====

Entry 5:
Entry from Alexandria: a relaxed SmUPbO6 crystal (PBE).

Calculated values
calculated total energy = -8.027 eV/atom
SG = P312
DOS at the Fermi energy = 3.58 states/eV/f.u.
E_form (uncorrected) = -2.531 eV/atom

abc: 5.9456 5.9456 4.8290
angles: 90.00 90.00 120.00
Closest atoms and distances in Å follow each position.
Sites, in units of the cell vectors:
Sm: 0.0000 0.0000 0.0000  6 O 2.33
U: 0.3333 0.6667 0.0000  6 O 2.09
Pb: 0.6667 0.3333 0.5000  6 O 2.50
O: 0.0366 0.3639 0.2250  1 U 2.09, 1 Sm 2.33
O: 0.0366 0.6727 0.7750  1 U 2.09, 1 Sm 2.33
O: 0.3273 0.3639 0.7750  1 U 2.09, 1 Sm 2.33
O: 0.3273 0.9634 0.2250  1 U 2.09, 1 Sm 2.33
O: 0.6361 0.6727 0.2250  1 U 2.09, 1 Sm 2.33
O: 0.6361 0.9634 0.7750  1 U 2.09, 1 Sm 2.33

=====

Question: What is the E_form (uncorrected) in the fourth record?
Answer: -2.710 eV/atom

=====

Question: Number 2 is which compound?
Answer: Sm2TiPbO6